Density functional theory data (meta-GGA SCAN) for a crystal of LaMgZr relaxed with PBEsol.

Unit cell a=7.126 b=7.126 c=7.126 alpha=90.00 beta=90.00 gamma=90.00
Space group F-43m (No. 216)
Inequivalent atoms, fractional coordinates:
La1 0.000 0.000 0.000 (multiplicity 4)
Mg1 0.250 0.250 0.750 (multiplicity 4)
Zr1 0.250 0.250 0.250 (multiplicity 4)

**DOS(E_F)**: 1.583 states/eV per atom
**Formation energy from the elements**: 1026 meV/atom
**Raw total energy**: -25.233 eV per atom
**E above lowest polymorph**: 957 meV per atom